BeTePb2O6: optimized geometry, PBE-GGA.

Cell and atoms, written as POSCAR:
```
BeTePb2O6
1.0
5.602 0.000 0.000
2.801 4.851 0.000
2.801 1.617 9.245
Pb O Be Te
4 12 2 2
direct
0.716 0.716 0.853
0.870 0.870 0.389
0.284 0.284 0.147
0.130 0.130 0.611
0.714 0.203 0.879
0.609 0.609 0.629
0.153 0.609 0.629
0.609 0.153 0.629
0.391 0.847 0.371
0.203 0.203 0.879
0.286 0.797 0.121
0.797 0.286 0.121
0.847 0.391 0.371
0.797 0.797 0.121
0.391 0.391 0.371
0.203 0.714 0.879
0.500 0.500 0.500
0.000 0.000 0.000
0.590 0.590 0.229
0.410 0.410 0.771
```

Calculated values
* formation energy without anion corrections: -1.207 eV per atom
* final energy: -5.610 eV per atom
* symmetry: No. 166